[1]
# SrCd2Co (PBEsol, optimized geometry)
# Spin magnetization = 0.00 μB per formula unit
# Energy of formation = 0.72 eV per formula unit
# D(E_F) = 1.438 states/eV per cell
data_SrCd2Co
_cell_length_a 3.161
_cell_length_b 4.979
_cell_length_c 6.095
_cell_angle_alpha 113.93
_cell_angle_beta 105.03
_cell_angle_gamma 90.00
_space_group_name_H-M_alt 'P 1'
_space_group_IT_number 1
loop_
_space_group_symop_operation_xyz
'x,y,z'
loop_
_atom_site_label
_atom_site_fract_x
_atom_site_fract_y
_atom_site_fract_z
Cd1 0.200 0.200 0.400
Cd2 0.800 0.800 0.600
Co1 0.500 0.000 0.000
Sr1 0.000 0.500 0.000

---

[2]
# Sr2CdCo (PBEsol, optimized geometry)
# Spin magnetization = 0.80 μB per formula unit
# Energy of formation = 1.63 eV per formula unit
# D(E_F) = 4.751 states/eV per cell
data_Sr2CdCo
_cell_length_a 3.841
_cell_length_b 4.024
_cell_length_c 9.074
_cell_angle_alpha 101.37
_cell_angle_beta 90.00
_cell_angle_gamma 118.51
_space_group_name_H-M_alt 'P 1'
_space_group_IT_number 1
loop_
_space_group_symop_operation_xyz
'x,y,z'
loop_
_atom_site_label
_atom_site_fract_x
_atom_site_fract_y
_atom_site_fract_z
Cd1 0.000 0.000 0.500
Co1 0.500 0.000 0.000
Sr1 0.764 0.528 0.795
Sr2 0.236 0.472 0.205

---

[3]
# Sr2CdCo (PBEsol, optimized geometry)
# Spin magnetization = 0.70 μB per formula unit
# Energy of formation = 0.94 eV per formula unit
# D(E_F) = 5.940 states/eV per cell
data_Sr2CdCo
_cell_length_a 3.677
_cell_length_b 3.677
_cell_length_c 7.819
_cell_angle_alpha 90.00
_cell_angle_beta 90.00
_cell_angle_gamma 90.00
_space_group_name_H-M_alt 'P 1'
_space_group_IT_number 1
loop_
_space_group_symop_operation_xyz
'x,y,z'
loop_
_atom_site_label
_atom_site_fract_x
_atom_site_fract_y
_atom_site_fract_z
Cd1 0.500 0.500 0.000
Co1 0.500 0.500 0.500
Sr1 0.000 0.000 0.719
Sr2 0.000 0.000 0.281

---

Please write out number 3 again, unchanged.
# Sr2CdCo (PBEsol, optimized geometry)
# Spin magnetization = 0.70 μB per formula unit
# Energy of formation = 0.94 eV per formula unit
# D(E_F) = 5.940 states/eV per cell
data_Sr2CdCo
_cell_length_a 3.677
_cell_length_b 3.677
_cell_length_c 7.819
_cell_angle_alpha 90.00
_cell_angle_beta 90.00
_cell_angle_gamma 90.00
_space_group_name_H-M_alt 'P 1'
_space_group_IT_number 1
loop_
_space_group_symop_operation_xyz
'x,y,z'
loop_
_atom_site_label
_atom_site_fract_x
_atom_site_fract_y
_atom_site_fract_z
Cd1 0.500 0.500 0.000
Co1 0.500 0.500 0.500
Sr1 0.000 0.000 0.719
Sr2 0.000 0.000 0.281

---

What is the D(E_F) in the first record? 1.438 states/eV per cell